[1]
Compound: VCoRh
Source: Alexandria
Functional: PBE
Structure: relaxed

```
data_VCoRh
_space_group_name_H-M_alt 'C 1 m 1'
_space_group_IT_number 8
_space_group_name_Hall 'C -2y'
_cell_length_a 8.133
_cell_length_b 3.729
_cell_length_c 5.207
_cell_angle_alpha 90.00
_cell_angle_beta 105.75
_cell_angle_gamma 90.00
loop_
_atom_site_label
_atom_site_fract_x
_atom_site_fract_y
_atom_site_fract_z
V1 0.000 0.000 0.000
V2 0.196 0.500 0.396
Co1 0.177 0.500 0.871
Co2 0.351 0.000 0.709
Rh1 0.024 0.000 0.531
Rh2 0.342 0.000 0.193
```

Properties
For the formation enthalpy at 0 K, the calculation gives -246 meV per atom. The value obtained for the energy above the most stable polymorph in this dataset is 0.00 eV/f.u.

[2]
Compound: V2Co3Rh2
Source: Alexandria
Functional: PBE
Structure: relaxed

```
data_V2Co3Rh2
_space_group_name_H-M_alt 'I m m m'
_space_group_IT_number 71
_space_group_name_Hall '-I 2 2'
_cell_length_a 2.680
_cell_length_b 3.548
_cell_length_c 18.396
_cell_angle_alpha 90.00
_cell_angle_beta 90.00
_cell_angle_gamma 90.00
loop_
_atom_site_label
_atom_site_fract_x
_atom_site_fract_y
_atom_site_fract_z
V1 0.000 0.000 0.149
Co1 0.000 0.000 0.000
Co2 0.000 0.000 0.281
Rh1 0.000 0.000 0.426
```

Properties
For the formation enthalpy at 0 K, the calculation gives -155 meV per atom.

[3]
Compound: VCoRh
Source: Alexandria
Functional: PBE
Structure: relaxed

```
data_VCoRh
_space_group_name_H-M_alt 'P -6 m 2'
_space_group_IT_number 187
_space_group_name_Hall 'P -6 2'
_cell_length_a 4.0791
_cell_length_b 4.0791
_cell_length_c 2.6414
_cell_angle_alpha 90.00
_cell_angle_beta 90.00
_cell_angle_gamma 120.00
loop_
_atom_site_label
_atom_site_fract_x
_atom_site_fract_y
_atom_site_fract_z
V1 0.0000 0.0000 0.0000
Co1 0.3333 0.6667 0.0000
Rh1 0.6667 0.3333 0.5000
```

Properties
For the formation enthalpy at 0 K, the calculation gives -169 meV per atom. The value obtained for the energy above the most stable polymorph in this dataset is 0.23 eV/f.u.

[4]
Compound: V5Co2Rh2
Source: Alexandria
Functional: PBE
Structure: relaxed

```
data_V5Co2Rh2
_space_group_name_H-M_alt 'C m c e'
_space_group_IT_number 64
_space_group_name_Hall '-C 2ac 2'
_cell_length_a 14.138
_cell_length_b 5.818
_cell_length_c 5.903
_cell_angle_alpha 90.00
_cell_angle_beta 90.00
_cell_angle_gamma 90.00
loop_
_atom_site_label
_atom_site_fract_x
_atom_site_fract_y
_atom_site_fract_z
V1 0.000 0.000 0.000
V2 0.129 0.195 0.308
Co1 0.000 0.134 0.633
Rh1 0.227 0.000 0.000
```

Properties
For the formation enthalpy at 0 K, the calculation gives -71 meV per atom.

[5]
Compound: VCoRh4
Source: Alexandria
Functional: PBE
Structure: relaxed

```
data_VCoRh4
_space_group_name_H-M_alt 'P 4/m m m'
_space_group_IT_number 123
_space_group_name_Hall '-P 4 2'
_cell_length_a 4.037
_cell_length_b 4.037
_cell_length_c 5.677
_cell_angle_alpha 90.00
_cell_angle_beta 90.00
_cell_angle_gamma 90.00
loop_
_atom_site_label
_atom_site_fract_x
_atom_site_fract_y
_atom_site_fract_z
V1 0.000 0.000 0.000
Co1 0.500 0.500 0.500
Rh1 0.000 0.500 0.249
```

Properties
For the formation enthalpy at 0 K, the calculation gives 147 meV per atom.

[6]
Compound: V2CoRh5
Source: Alexandria
Functional: PBE
Structure: relaxed

```
data_V2CoRh5
_space_group_name_H-M_alt 'P b a m'
_space_group_IT_number 55
_space_group_name_Hall '-P 2 2ab'
_cell_length_a 5.333
_cell_length_b 10.640
_cell_length_c 3.774
_cell_angle_alpha 90.00
_cell_angle_beta 90.00
_cell_angle_gamma 90.00
loop_
_atom_site_label
_atom_site_fract_x
_atom_site_fract_y
_atom_site_fract_z
V1 0.247 0.121 0.000
Co1 0.000 0.000 0.500
Rh1 0.000 0.500 0.500
Rh2 0.014 0.246 0.500
Rh3 0.235 0.880 0.000
```

Properties
For the formation enthalpy at 0 K, the calculation gives -338 meV per atom.

[7]
Compound: VCoRh
Source: Alexandria
Functional: PBE
Structure: relaxed

```
data_VCoRh
_space_group_name_H-M_alt 'C m m e'
_space_group_IT_number 67
_space_group_name_Hall '-C 2a 2'
_cell_length_a 5.575
_cell_length_b 5.596
_cell_length_c 5.314
_cell_angle_alpha 90.00
_cell_angle_beta 90.00
_cell_angle_gamma 90.00
loop_
_atom_site_label
_atom_site_fract_x
_atom_site_fract_y
_atom_site_fract_z
V1 0.250 0.000 0.000
Co1 0.000 0.250 0.252
Rh1 0.000 0.250 0.698
```

Properties
For the formation enthalpy at 0 K, the calculation gives 9 meV per atom. The value obtained for the energy above the most stable polymorph in this dataset is 0.76 eV/f.u.

[8]
Compound: V6CoRh5
Source: Alexandria
Functional: PBE
Structure: relaxed

```
data_V6CoRh5
_space_group_name_H-M_alt 'I m m m'
_space_group_IT_number 71
_space_group_name_Hall '-I 2 2'
_cell_length_a 3.838
_cell_length_b 7.257
_cell_length_c 11.567
_cell_angle_alpha 90.00
_cell_angle_beta 90.00
_cell_angle_gamma 90.00
loop_
_atom_site_label
_atom_site_fract_x
_atom_site_fract_y
_atom_site_fract_z
V1 0.000 0.243 0.000
V2 0.000 0.254 0.338
Co1 0.000 0.500 0.500
Rh1 0.000 0.000 0.163
Rh2 0.000 0.000 0.500
Rh3 0.000 0.500 0.168
```

Properties
For the formation enthalpy at 0 K, the calculation gives -324 meV per atom.

Look up the formation enthalpy at 0 K of the fifth one. 147 meV per atom